The following is a DFT calculation (PBE-GGA) of crystalline Sr2Au at its relaxed geometry.

Output
Final energy, eV/atom: -2.771
Energy relative to the elements, eV/atom: -0.558
Magnetic moment, Bohr magnetons per cell: 0.0
Fermi-level density of states, states/eV per atom: 0.722

```
Sr2Au
1.0
2.078 -7.154 0.000
2.078 7.154 0.000
0.000 0.000 7.621
Sr Au
4 2
direct
0.014 0.986 0.500 Sr
0.277 0.723 0.675 Sr
0.723 0.277 0.175 Sr
0.986 0.014 0.000 Sr
0.385 0.615 0.281 Au
0.615 0.385 0.781 Au
```